No. 1
A geometry-optimized CeThCo2Si2 structure, computed with PBE.

Cell: 4.038 4.038 7.995 Å, 90.00 90.00 120.00°
Positions (direct):
Ce 0.000 0.000 0.000
Th 0.000 0.000 0.500
Co 0.333 0.667 0.245
Co 0.667 0.333 0.755
Si 0.333 0.667 0.754
Si 0.667 0.333 0.246

Output
E_form (uncorrected) (eV per atom): -0.663
Theoretical density (g/cm3): 8.04
Symmetry: P-3m1

No. 2
A geometry-optimized YTe8 structure, computed with PBE.

Cell: 9.331 9.331 9.331 Å, 92.96 92.96 153.75°
Positions (direct):
Y 0.000 0.000 0.000
Te 0.000 0.246 0.246
Te 0.000 0.754 0.754
Te 0.246 0.000 0.246
Te 0.354 0.354 0.707
Te 0.354 0.646 0.000
Te 0.646 0.354 0.000
Te 0.646 0.646 0.293
Te 0.754 0.000 0.754

Output
E_form (uncorrected) (eV per atom): -0.291
Theoretical density (g/cm3): 5.27
Symmetry: I4/mmm

No. 3
A geometry-optimized Be2TlAu9 structure, computed with PBE.

Cell: 8.331 8.331 3.680 Å, 90.00 90.00 120.00°
Positions (direct):
Be 0.333 0.667 0.000
Be 0.667 0.333 0.000
Tl 0.000 0.000 0.000
Au 0.000 0.500 0.000
Au 0.206 0.411 0.500
Au 0.206 0.794 0.500
Au 0.411 0.206 0.500
Au 0.500 0.000 0.000
Au 0.500 0.500 0.000
Au 0.589 0.794 0.500
Au 0.794 0.206 0.500
Au 0.794 0.589 0.500

Output
Theoretical density (g/cm3): 14.98
Energy of formation from the pure elements (kJ per mole of atoms): -3.0
Symmetry: P6/mmm

No. 4
A geometry-optimized LaPm15Tl4 structure, computed with PBE.

Cell: 4.964 4.964 25.509 Å, 90.00 90.00 90.00°
Positions (direct):
La 0.000 0.000 0.000
Pm 0.000 0.500 0.107
Pm 0.000 0.500 0.304
Pm 0.000 0.500 0.500
Pm 0.000 0.500 0.696
Pm 0.000 0.500 0.893
Pm 0.500 0.000 0.107
Pm 0.500 0.000 0.304
Pm 0.500 0.000 0.500
Pm 0.500 0.000 0.696
Pm 0.500 0.000 0.893
Pm 0.500 0.500 0.000
Pm 0.500 0.500 0.207
Pm 0.500 0.500 0.402
Pm 0.500 0.500 0.598
Pm 0.500 0.500 0.793
Tl 0.000 0.000 0.207
Tl 0.000 0.000 0.403
Tl 0.000 0.000 0.597
Tl 0.000 0.000 0.793

Output
Theoretical density (g/cm3): 8.27
Energy of formation from the pure elements (kJ per mole of atoms): -14.4
Symmetry: P4/mmm

No. 5
A geometry-optimized LaBe2HgSe structure, computed with PBE.

Cell: 5.982 5.982 5.591 Å, 90.00 90.00 90.00°
Positions (direct):
La 0.000 0.000 0.000
Be 0.000 0.500 0.000
Be 0.500 0.000 0.000
Hg 0.500 0.500 0.500
Se 0.000 0.000 0.500

Output
E_form (uncorrected) (eV per atom): 0.887
Theoretical density (g/cm3): 3.62
Symmetry: P4/mmm

No. 6
A geometry-optimized Rb2NaIn12Ir3 structure, computed with PBE.

Cell: 8.960 8.960 8.960 Å, 70.07 70.07 70.07°
Positions (direct):
Rb 0.096 0.096 0.096
Rb 0.904 0.904 0.904
Na 0.500 0.500 0.500
In 0.130 0.632 0.632
In 0.228 0.228 0.560
In 0.228 0.560 0.228
In 0.368 0.368 0.870
In 0.368 0.870 0.368
In 0.440 0.772 0.772
In 0.560 0.228 0.228
In 0.632 0.130 0.632
In 0.632 0.632 0.130
In 0.772 0.440 0.772
In 0.772 0.772 0.440
In 0.870 0.368 0.368
Ir 0.000 0.500 0.500
Ir 0.500 0.000 0.500
Ir 0.500 0.500 0.000

Output
Theoretical density (g/cm3): 5.80
Energy of formation from the pure elements (kJ per mole of atoms): 2.3
Symmetry: R-3m

No. 7
A geometry-optimized ScOsC structure, computed with PBE.

Cell: 4.832 4.832 7.060 Å, 124.08 124.08 36.04°
Positions (direct):
Sc 0.066 0.066 0.363
Sc 0.934 0.934 0.637
Os 0.327 0.327 0.903
Os 0.673 0.673 0.097
C 0.307 0.307 0.331
C 0.693 0.693 0.669

Output
Theoretical density (g/cm3): 10.48
Energy of formation from the pure elements (kJ per mole of atoms): -16.0
Symmetry: C2/m

No. 8
A geometry-optimized CdTcBr2 structure, computed with PBE.

Cell: 3.854 3.854 9.655 Å, 96.19 96.19 50.34°
Positions (direct):
Cd 0.000 0.000 0.000
Tc 0.500 0.500 0.500
Br 0.220 0.220 0.652
Br 0.780 0.780 0.348

Output
E_form (uncorrected) (eV per atom): 0.165
Theoretical density (g/cm3): 5.61
Symmetry: C2/m